Entry 1:
Compound: PmRhPb
Source: Alexandria via LeMat-Bulk
Functional: GGA-PBE
Structure: relaxed

Values from the calculation:
For the density of states at the Fermi level, the calculation gives 11.530 states/eV per cell. The raw total energy comes out at -5.765 eV/atom. As for the formation energy: -48 kJ per mole of atoms. The value obtained for the energy above the most stable polymorph in this dataset is 0.006 eV per atom. For the spin magnetization, the calculation gives 0.0 μB per formula unit.

```
data_PmRhPb
_cell_length_a 8.153
_cell_length_b 4.717
_cell_length_c 8.330
_cell_angle_alpha 90.00
_cell_angle_beta 109.19
_cell_angle_gamma 90.00
_space_group_name_H-M_alt 'C 1 2/m 1'
_space_group_IT_number 12
_space_group_name_Hall '-C 2y'
loop_
_atom_site_label
_atom_site_type_symbol
_atom_site_fract_x
_atom_site_fract_y
_atom_site_fract_z
Pm1 Pm 0.243 0.000 0.228
Rh1 Rh 0.132 0.500 0.398
Pb1 Pb 0.000 0.000 0.500
Pb2 Pb 0.000 0.500 0.000
```



Entry 2:
Compound: Mg7SnHg4
Source: Alexandria via LeMat-Bulk
Functional: GGA-PBE
Structure: relaxed

Values from the calculation:
For the density of states at the Fermi level, the calculation gives 9.297 states/eV per cell. The raw total energy comes out at -1.432 eV/atom. As for the formation energy: -7 kJ per mole of atoms. For the spin magnetization, the calculation gives 0.0 μB per formula unit.

```
data_Mg7SnHg4
_cell_length_a 13.519
_cell_length_b 5.279
_cell_length_c 10.200
_cell_angle_alpha 90.00
_cell_angle_beta 127.17
_cell_angle_gamma 90.00
_space_group_name_H-M_alt 'C 1 2/m 1'
_space_group_IT_number 12
_space_group_name_Hall '-C 2y'
loop_
_atom_site_label
_atom_site_type_symbol
_atom_site_fract_x
_atom_site_fract_y
_atom_site_fract_z
Mg1 Mg 0.000 0.000 0.000
Mg2 Mg 0.068 0.500 0.338
Mg3 Mg 0.158 0.000 0.588
Mg4 Mg 0.216 0.500 0.876
Sn1 Sn 0.000 0.500 0.000
Hg1 Hg 0.073 0.000 0.778
Hg2 Hg 0.211 0.000 0.340
```



Entry 3:
Compound: Cs2CePb2O6
Source: Alexandria via LeMat-Bulk
Functional: GGA-PBE
Structure: relaxed

Values from the calculation:
For the formation energy without anion corrections, the calculation gives -1.664 eV/atom. The raw total energy comes out at -5.738 eV/atom. For the spin magnetization, the calculation gives 0.0 μB per formula unit.

```
data_Cs2CePb2O6
_cell_length_a 11.255
_cell_length_b 6.599
_cell_length_c 7.743
_cell_angle_alpha 90.00
_cell_angle_beta 120.70
_cell_angle_gamma 90.00
_space_group_name_H-M_alt 'C 1 2/m 1'
_space_group_IT_number 12
_space_group_name_Hall '-C 2y'
loop_
_atom_site_label
_atom_site_type_symbol
_atom_site_fract_x
_atom_site_fract_y
_atom_site_fract_z
Cs1 Cs 0.208 0.000 0.177
Ce1 Ce 0.000 0.000 0.500
Pb1 Pb 0.057 0.500 0.223
O1 O 0.032 0.240 0.729
O2 O 0.227 0.000 0.606
```